Below is a relaxed MgTi2Hg2 crystal, with properties calculated at the GGA-PBE level.

Cell: 8.063 8.063 3.183 Å, 90.00 90.00 90.00°
Atoms (fractional coordinates):
Mg1 0.000 0.000 0.000
Mg2 0.500 0.500 0.000
Ti1 0.112 0.388 0.000
Ti2 0.388 0.888 0.000
Ti3 0.612 0.112 0.000
Ti4 0.888 0.612 0.000
Hg1 0.183 0.683 0.500
Hg2 0.317 0.183 0.500
Hg3 0.683 0.817 0.500
Hg4 0.817 0.317 0.500

* ρ: 8.4 g/cm3
* polymorph energy (0 for the lowest one): 37 meV per atom
* SG: P4/mbm, No. 127

Below is a relaxed Mg2TiHg crystal, with properties calculated at the GGA-PBE level.

Cell: 10.865 10.865 10.865 Å, 16.11 16.11 16.11°
Atoms (fractional coordinates):
Mg1 0.089 0.089 0.089
Mg2 0.911 0.911 0.911
Ti1 0.000 0.000 0.000
Hg1 0.500 0.500 0.500

* ρ: 5.7 g/cm3
* polymorph energy (0 for the lowest one): 324 meV per atom
* SG: R-3m, No. 166